1.
This record from the Alexandria database describes AcAl6Ag12 after structural relaxation. The functional is PBE.

Summary:
calculated formation energy: -0.058 eV/atom
density of states at the Fermi level: 2.754 states/eV/f.u.
energy: -61.88 eV/f.u.

CIF file:
```
data_AcAl6Ag12
_cell_length_a 7.4890
_cell_length_b 7.4890
_cell_length_c 7.4890
_cell_angle_alpha 104.60
_cell_angle_beta 104.60
_cell_angle_gamma 104.60
_space_group_name_H-M_alt 'P 1'
_space_group_IT_number 1
_space_group_name_Hall 'P 1'
loop_
_atom_site_label
_atom_site_type_symbol
_atom_site_fract_x
_atom_site_fract_y
_atom_site_fract_z
Al1 Al 0.7018 0.2677 0.2677
Al2 Al 0.2677 0.2677 0.7018
Al3 Al 0.2677 0.7018 0.2677
Al4 Al 0.7323 0.2982 0.7323
Al5 Al 0.7323 0.7323 0.2982
Al6 Al 0.2982 0.7323 0.7323
Ag1 Ag 0.5953 0.8499 0.5953
Ag2 Ag 0.4047 0.4047 0.1501
Ag3 Ag 0.8825 0.5000 0.1175
Ag4 Ag 0.5953 0.5953 0.8499
Ag5 Ag 0.1175 0.8825 0.5000
Ag6 Ag 0.4047 0.1501 0.4047
Ag7 Ag 0.5000 0.1175 0.8825
Ag8 Ag 0.1175 0.5000 0.8825
Ag9 Ag 0.5000 0.8825 0.1175
Ag10 Ag 0.8499 0.5953 0.5953
Ag11 Ag 0.1501 0.4047 0.4047
Ag12 Ag 0.8825 0.1175 0.5000
Ac1 Ac 0.0000 0.0000 0.0000
```

---

2.
This record from the Alexandria database describes Ac2AlAg3 after structural relaxation. The functional is PBE.

Summary:
calculated formation energy: -0.301 eV/atom
density of states at the Fermi level: 5.161 states/eV/f.u.
energy: -22.32 eV/f.u.
distance to the lowest polymorph of the same formula: 0.014 eV per atom

CIF file:
```
data_Ac2AlAg3
_cell_length_a 6.3045
_cell_length_b 6.3045
_cell_length_c 9.3373
_cell_angle_alpha 106.79
_cell_angle_beta 106.79
_cell_angle_gamma 98.30
_space_group_name_H-M_alt 'P 1'
_space_group_IT_number 1
_space_group_name_Hall 'P 1'
loop_
_atom_site_label
_atom_site_type_symbol
_atom_site_fract_x
_atom_site_fract_y
_atom_site_fract_z
Ag1 Ag 0.3443 0.8256 0.1699
Ag2 Ag 0.1726 0.1726 0.3451
Ag3 Ag 0.8256 0.3443 0.1699
Ag4 Ag 0.6557 0.1744 0.8301
Ag5 Ag 0.8274 0.8274 0.6549
Ag6 Ag 0.1744 0.6557 0.8301
Ac1 Ac 0.7500 0.2500 0.5000
Ac2 Ac 0.2500 0.7500 0.5000
Ac3 Ac 0.2411 0.2411 0.0000
Ac4 Ac 0.7589 0.7589 0.0000
Al1 Al 0.6656 0.6656 0.3313
Al2 Al 0.3344 0.3344 0.6687
```

---

3.
This record from the Alexandria database describes AcAl3Ag after structural relaxation. The functional is PBE.

Summary:
calculated formation energy: -0.215 eV/atom
density of states at the Fermi level: 1.803 states/eV/f.u.
energy: -19.26 eV/f.u.
distance to the lowest polymorph of the same formula: 0.125 eV per atom

CIF file:
```
data_AcAl3Ag
_cell_length_a 6.0233
_cell_length_b 6.5951
_cell_length_c 6.5948
_cell_angle_alpha 120.00
_cell_angle_beta 90.00
_cell_angle_gamma 90.00
_space_group_name_H-M_alt 'P 1'
_space_group_IT_number 1
_space_group_name_Hall 'P 1'
loop_
_atom_site_label
_atom_site_type_symbol
_atom_site_fract_x
_atom_site_fract_y
_atom_site_fract_z
Al1 Al 0.2499 0.8041 0.6082
Al2 Al 0.7501 0.6082 0.8041
Al3 Al 0.7501 0.1959 0.3918
Al4 Al 0.2499 0.8041 0.1959
Al5 Al 0.7501 0.1959 0.8041
Al6 Al 0.2499 0.3918 0.1959
Ac1 Ac 0.7499 0.6667 0.3334
Ac2 Ac 0.2501 0.3333 0.6666
Ag1 Ag 0.5000 0.0000 0.0000
Ag2 Ag 0.0000 0.0000 0.0000
```

---

4.
This record from the Alexandria database describes Ac6AlAg5 after structural relaxation. The functional is PBE.

Summary:
calculated formation energy: -0.254 eV/atom
density of states at the Fermi level: 9.232 states/eV/f.u.
energy: -45.70 eV/f.u.

CIF file:
```
data_Ac6AlAg5
_cell_length_a 5.5888
_cell_length_b 9.7100
_cell_length_c 9.7100
_cell_angle_alpha 119.82
_cell_angle_beta 106.73
_cell_angle_gamma 106.73
_space_group_name_H-M_alt 'P 1'
_space_group_IT_number 1
_space_group_name_Hall 'P 1'
loop_
_atom_site_label
_atom_site_type_symbol
_atom_site_fract_x
_atom_site_fract_y
_atom_site_fract_z
Ag1 Ag 0.0000 0.3333 0.6667
Ag2 Ag 0.0000 0.6667 0.3333
Ag3 Ag 0.5000 0.1631 0.8369
Ag4 Ag 0.5000 0.5000 0.5000
Ag5 Ag 0.5000 0.8369 0.1631
Ac1 Ac 0.7510 0.2510 0.2510
Ac2 Ac 0.2498 0.4165 0.0834
Ac3 Ac 0.7502 0.9166 0.5835
Ac4 Ac 0.2490 0.7490 0.7490
Ac5 Ac 0.7502 0.5835 0.9166
Ac6 Ac 0.2498 0.0834 0.4165
Al1 Al 0.0000 0.0000 0.0000
```

---

5.
This record from the Alexandria database describes AcAl2Ag after structural relaxation. The functional is PBE.

Summary:
calculated formation energy: -0.298 eV/atom
density of states at the Fermi level: 1.072 states/eV/f.u.
energy: -15.64 eV/f.u.

CIF file:
```
data_AcAl2Ag
_cell_length_a 4.8491
_cell_length_b 6.0972
_cell_length_c 7.0288
_cell_angle_alpha 90.00
_cell_angle_beta 90.00
_cell_angle_gamma 113.43
_space_group_name_H-M_alt 'P 1'
_space_group_IT_number 1
_space_group_name_Hall 'P 1'
loop_
_atom_site_label
_atom_site_type_symbol
_atom_site_fract_x
_atom_site_fract_y
_atom_site_fract_z
Ag1 Ag 0.2864 0.5729 0.8037
Ag2 Ag 0.2864 0.5729 0.1963
Ac1 Ac 0.7589 0.5178 0.5000
Ac2 Ac 0.5706 0.1411 0.0000
Al1 Al 0.0448 0.0896 0.6902
Al2 Al 0.4656 0.9312 0.5000
Al3 Al 0.8712 0.7424 0.0000
Al4 Al 0.0448 0.0896 0.3098
```

---

6.
This record from the Alexandria database describes AcAl4Ag12 after structural relaxation. The functional is PBE.

Summary:
calculated formation energy: 0.194 eV/atom
density of states at the Fermi level: 4.785 states/eV/f.u.
energy: -50.00 eV/f.u.

CIF file:
```
data_AcAl4Ag12
_cell_length_a 7.8724
_cell_length_b 7.8724
_cell_length_c 7.8724
_cell_angle_alpha 109.47
_cell_angle_beta 109.47
_cell_angle_gamma 109.47
_space_group_name_H-M_alt 'P 1'
_space_group_IT_number 1
_space_group_name_Hall 'P 1'
loop_
_atom_site_label
_atom_site_type_symbol
_atom_site_fract_x
_atom_site_fract_y
_atom_site_fract_z
Ac1 Ac 0.0000 0.0000 0.0000
Ag1 Ag 0.1568 0.3478 0.5046
Ag2 Ag 0.3478 0.5046 0.1568
Ag3 Ag 0.8091 0.1568 0.6522
Ag4 Ag 0.3478 0.1909 0.8432
Ag5 Ag 0.6522 0.8091 0.1568
Ag6 Ag 0.8432 0.3478 0.1909
Ag7 Ag 0.8432 0.6522 0.4954
Ag8 Ag 0.5046 0.1568 0.3478
Ag9 Ag 0.1568 0.6522 0.8091
Ag10 Ag 0.4954 0.8432 0.6522
Ag11 Ag 0.1909 0.8432 0.3478
Ag12 Ag 0.6522 0.4954 0.8432
Al1 Al 0.0000 0.5000 0.0000
Al2 Al 0.5000 0.0000 0.0000
Al3 Al 0.0000 0.0000 0.5000
Al4 Al 0.5000 0.5000 0.5000
```

---

7.
This record from the Alexandria database describes AcAl4Ag after structural relaxation. The functional is PBE.

Summary:
calculated formation energy: -0.221 eV/atom
density of states at the Fermi level: 2.492 states/eV/f.u.
energy: -23.25 eV/f.u.
distance to the lowest polymorph of the same formula: 0.000 eV per atom

CIF file:
```
data_AcAl4Ag
_cell_length_a 4.4285
_cell_length_b 7.0529
_cell_length_c 8.5701
_cell_angle_alpha 90.00
_cell_angle_beta 104.97
_cell_angle_gamma 90.00
_space_group_name_H-M_alt 'P 1'
_space_group_IT_number 1
_space_group_name_Hall 'P 1'
loop_
_atom_site_label
_atom_site_type_symbol
_atom_site_fract_x
_atom_site_fract_y
_atom_site_fract_z
Ag1 Ag 0.7698 0.2500 0.5395
Ag2 Ag 0.2302 0.7500 0.4605
Ac1 Ac 0.8869 0.7500 0.7737
Ac2 Ac 0.1131 0.2500 0.2263
Al1 Al 0.5000 0.5000 0.0000
Al2 Al 0.3239 0.0600 0.6478
Al3 Al 0.5000 0.0000 0.0000
Al4 Al 0.6761 0.9400 0.3522
Al5 Al 0.6761 0.5600 0.3522
Al6 Al 0.9249 0.2500 0.8497
Al7 Al 0.3239 0.4400 0.6478
Al8 Al 0.0751 0.7500 0.1503
```

---

8.
This record from the Alexandria database describes Ac3AlAg2 after structural relaxation. The functional is PBE.

Summary:
calculated formation energy: -0.252 eV/atom
density of states at the Fermi level: 5.107 states/eV/f.u.
energy: -23.28 eV/f.u.
distance to the lowest polymorph of the same formula: 0.000 eV per atom

CIF file:
```
data_Ac3AlAg2
_cell_length_a 3.9606
_cell_length_b 3.9606
_cell_length_c 11.8868
_cell_angle_alpha 90.00
_cell_angle_beta 90.00
_cell_angle_gamma 90.00
_space_group_name_H-M_alt 'P 1'
_space_group_IT_number 1
_space_group_name_Hall 'P 1'
loop_
_atom_site_label
_atom_site_type_symbol
_atom_site_fract_x
_atom_site_fract_y
_atom_site_fract_z
Al1 Al 0.5000 0.5000 0.5000
Ag1 Ag 0.5000 0.5000 0.1673
Ag2 Ag 0.5000 0.5000 0.8327
Ac1 Ac 0.0000 0.0000 0.0000
Ac2 Ac 0.0000 0.0000 0.3370
Ac3 Ac 0.0000 0.0000 0.6630
```